# Pm3Sb2Te PBE-GGA relaxed
data_Pm3Sb2Te
_chemical_formula_sum 'Pm3 Sb2 Te1'
_symmetry_space_group_name_H-M 'P 1'
_symmetry_Int_Tables_number 1
_symmetry_space_group_name_Hall 'P 1'
_cell_length_a 4.492
_cell_length_b 6.349
_cell_length_c 7.762
_cell_angle_alpha 114.14
_cell_angle_beta 106.82
_cell_angle_gamma 90.00
loop_
_atom_site_label
_atom_site_fract_x
_atom_site_fract_y
_atom_site_fract_z
_atom_site_occupancy
Pm1 0.828 0.328 0.157 1
Pm2 0.172 0.672 0.843 1
Pm3 0.500 0.000 0.500 1
Sb1 0.835 0.835 0.169 1
Sb2 0.165 0.165 0.831 1
Te1 0.500 0.500 0.500 1
# DOS at the Fermi energy (states/eV/cell): 1.94
# Symmetry: Immm

# Pm2SbTe5 PBE-GGA relaxed
data_Pm2SbTe5
_chemical_formula_sum 'Pm4 Sb2 Te10'
_symmetry_space_group_name_H-M 'P 1'
_symmetry_Int_Tables_number 1
_symmetry_space_group_name_Hall 'P 1'
_cell_length_a 6.162
_cell_length_b 8.134
_cell_length_c 14.674
_cell_angle_alpha 90.00
_cell_angle_beta 90.00
_cell_angle_gamma 112.26
loop_
_atom_site_label
_atom_site_fract_x
_atom_site_fract_y
_atom_site_fract_z
_atom_site_occupancy
Pm1 0.834 0.669 0.431 1
Pm2 0.834 0.669 0.069 1
Pm3 0.166 0.331 0.569 1
Pm4 0.166 0.331 0.931 1
Sb1 0.831 0.662 0.750 1
Sb2 0.169 0.338 0.250 1
Te1 0.960 0.919 0.899 1
Te2 0.960 0.919 0.601 1
Te3 0.306 0.612 0.407 1
Te4 0.306 0.612 0.093 1
Te5 0.717 0.435 0.250 1
Te6 0.283 0.565 0.750 1
Te7 0.694 0.388 0.593 1
Te8 0.694 0.388 0.907 1
Te9 0.040 0.081 0.101 1
Te10 0.040 0.081 0.399 1
# DOS at the Fermi energy (states/eV/cell): 7.77
# Symmetry: Cmcm

# Pm7Sb2Te2 PBE-GGA relaxed
data_Pm7Sb2Te2
_chemical_formula_sum 'Pm7 Sb2 Te2'
_symmetry_space_group_name_H-M 'P 1'
_symmetry_Int_Tables_number 1
_symmetry_space_group_name_Hall 'P 1'
_cell_length_a 7.250
_cell_length_b 7.294
_cell_length_c 7.250
_cell_angle_alpha 90.00
_cell_angle_beta 99.71
_cell_angle_gamma 90.00
loop_
_atom_site_label
_atom_site_fract_x
_atom_site_fract_y
_atom_site_fract_z
_atom_site_occupancy
Pm1 0.000 0.268 0.500 1
Pm2 0.500 0.732 0.000 1
Pm3 0.000 0.732 0.500 1
Pm4 0.500 0.268 0.000 1
Pm5 0.000 0.000 0.000 1
Pm6 0.500 0.740 0.500 1
Pm7 0.500 0.260 0.500 1
Sb1 0.722 0.000 0.278 1
Sb2 0.278 0.000 0.722 1
Te1 0.794 0.500 0.794 1
Te2 0.206 0.500 0.206 1
# DOS at the Fermi energy (states/eV/cell): 14.64
# Symmetry: Cmmm

# PmSb2Te4 PBE-GGA relaxed
data_PmSb2Te4
_chemical_formula_sum 'Pm2 Sb4 Te8'
_symmetry_space_group_name_H-M 'P 1'
_symmetry_Int_Tables_number 1
_symmetry_space_group_name_Hall 'P 1'
_cell_length_a 4.585
_cell_length_b 7.437
_cell_length_c 14.575
_cell_angle_alpha 90.00
_cell_angle_beta 90.00
_cell_angle_gamma 107.95
loop_
_atom_site_label
_atom_site_fract_x
_atom_site_fract_y
_atom_site_fract_z
_atom_site_occupancy
Pm1 0.619 0.239 0.750 1
Pm2 0.381 0.761 0.250 1
Sb1 0.128 0.257 0.440 1
Sb2 0.872 0.743 0.940 1
Sb3 0.128 0.257 0.060 1
Sb4 0.872 0.743 0.560 1
Te1 0.775 0.550 0.123 1
Te2 0.775 0.550 0.377 1
Te3 0.225 0.450 0.877 1
Te4 0.225 0.450 0.623 1
Te5 0.969 0.938 0.750 1
Te6 0.031 0.062 0.250 1
Te7 0.500 0.000 0.000 1
Te8 0.500 0.000 0.500 1
# DOS at the Fermi energy (states/eV/cell): 5.58
# Symmetry: Cmcm

Listing E for the structures above in their given order: -5.578; -4.450; -4.978; -4.106 eV per atom.